# 1
Compound: Sm2Ga3Si
Source: OQMD
Functional: PBE
Structure: optimized geometry

Geometry as POSCAR:
```
Sm2Ga3Si
1.0
0.0000 4.1915 7.2530
4.1910 0.0000 7.2530
4.1910 4.1915 0.0000
Sm Ga Si
4 6 2
Cartesian
6.3133 4.1915 7.2530
2.0955 2.0957 3.6265
6.2866 6.2872 10.8794
2.0688 4.1915 7.2530
4.1910 2.0874 6.0328
4.1910 4.1915 4.8205
4.1910 2.0874 8.4731
4.1910 6.2955 6.0328
4.1910 4.1915 9.6855
4.1910 6.2955 8.4731
4.1910 4.1915 2.4211
4.1910 4.1915 12.0849
```

## Properties
V: 21.2 A^3/atom
Symmetry: Fmmm (69)
Uncorrected energy: -4.69 eV per atom

# 2
Compound: SmGaSi
Source: OQMD
Functional: PBE
Structure: optimized geometry

Geometry as POSCAR:
```
SmGaSi
1.0
-2.0854 2.0854 7.1273
2.0854 -2.0854 7.1273
2.0854 2.0854 -7.1273
Sm Ga Si
2 2 2
Cartesian
0.0000 0.0000 0.0000
0.0000 2.0854 3.5636
2.0854 0.0000 2.3752
0.0000 0.0000 5.9389
2.0854 0.0000 4.7499
0.0000 0.0000 8.3135
```

## Properties
V: 20.7 A^3/atom
Symmetry: I4_1md (109)
Uncorrected energy: -5.08 eV per atom